The following is a DFT calculation (GGA-PBE) of a geometry-optimized Zn2Fe2Cu structure.

a b c (Å): 7.2049 7.2049 2.6161
angles (deg): 90.00 90.00 90.00
Fractional positions:
Cu (0.0000, 0.0000, 0.0000)
Cu (0.5000, 0.5000, 0.0000)
Fe (0.8835, 0.3835, 0.5000)
Fe (0.3835, 0.1165, 0.5000)
Fe (0.6165, 0.8835, 0.5000)
Fe (0.1165, 0.6165, 0.5000)
Zn (0.3214, 0.8214, 0.0000)
Zn (0.1786, 0.3214, 0.0000)
Zn (0.6786, 0.1786, 0.0000)
Zn (0.8214, 0.6786, 0.0000)

Results
Raw total energy = -44.780 eV/cell
Crystal system = tetragonal
ρ = 7.48 g cm⁻³

=====

The following is a DFT calculation (GGA-PBE) of a geometry-optimized ZnFeCu structure.

a b c (Å): 4.5894 4.5894 4.5894
angles (deg): 147.30 133.19 58.26
Fractional positions:
Cu (0.9993, 0.9993, 0.0000)
Fe (0.3342, 0.3342, 0.0000)
Zn (0.6665, 0.6665, 0.0000)

Results
E above lowest polymorph = 104.1 meV per atom
Raw total energy = -13.496 eV/cell
Crystal system = orthorhombic
ρ = 8.13 g cm⁻³

=====

The following is a DFT calculation (GGA-PBE) of a geometry-optimized ZnFe2Cu structure.

a b c (Å): 2.5639 3.7574 5.1017
angles (deg): 90.00 90.00 90.00
Fractional positions:
Zn (0.5000, 0.5000, 0.2500)
Cu (0.5000, 0.5000, 0.7500)
Fe (0.0000, 0.0000, 0.5040)
Fe (0.0000, 0.0000, 0.9960)

Results
Raw total energy = -22.005 eV/cell
Crystal system = orthorhombic
ρ = 8.13 g cm⁻³

=====

The following is a DFT calculation (GGA-PBE) of a geometry-optimized ZnFe2Cu structure.

a b c (Å): 4.5579 4.5579 4.5579
angles (deg): 133.51 133.33 68.00
Fractional positions:
Cu (0.2500, 0.7500, 0.5000)
Zn (0.7500, 0.2500, 0.5000)
Fe (0.4999, 0.4999, 0.0000)
Fe (0.0001, 0.0001, 0.0000)

Results
Raw total energy = -22.067 eV/cell
Crystal system = orthorhombic
ρ = 8.14 g cm⁻³

=====

The following is a DFT calculation (GGA-PBE) of a geometry-optimized ZnFe2Cu structure.

a b c (Å): 6.6554 6.6554 5.3071
angles (deg): 51.17 51.17 90.00
Fractional positions:
Fe (0.1326, 0.6250, 0.2500)
Fe (0.6174, 0.1250, 0.2500)
Fe (0.3750, 0.3826, 0.7500)
Fe (0.8750, 0.8674, 0.7500)
Cu (0.5000, 0.5000, 0.0000)
Cu (0.2500, 0.7500, 0.5000)
Zn (0.7500, 0.2500, 0.5000)
Zn (0.0000, 0.0000, 0.0000)

Results
Raw total energy = -40.707 eV/cell
Crystal system = tetragonal
ρ = 7.35 g cm⁻³

=====

The following is a DFT calculation (GGA-PBE) of a geometry-optimized ZnFe2Cu structure.

a b c (Å): 2.5202 2.5202 8.1425
angles (deg): 90.00 90.00 106.70
Fractional positions:
Fe (0.5000, 0.5000, 0.2425)
Fe (0.0000, 0.0000, 0.0033)
Cu (0.5000, 0.5000, 0.7553)
Zn (0.0000, 0.0000, 0.4989)

Results
Raw total energy = -22.123 eV/cell
Crystal system = orthorhombic
ρ = 8.07 g cm⁻³

=====

The following is a DFT calculation (GGA-PBE) of a geometry-optimized ZnFe2Cu structure.

a b c (Å): 2.5704 2.5704 8.7437
angles (deg): 81.55 81.55 60.00
Fractional positions:
Cu (0.6668, 0.6668, 0.9997)
Fe (0.0822, 0.0822, 0.7535)
Fe (0.2512, 0.2512, 0.2465)
Zn (0.4999, 0.4999, 0.5002)

Results
Raw total energy = -21.780 eV/cell
Crystal system = trigonal
ρ = 8.10 g cm⁻³

=====

The following is a DFT calculation (GGA-PBE) of a geometry-optimized ZnFe2Cu structure.

a b c (Å): 3.5851 3.5918 3.8094
angles (deg): 90.00 90.00 90.00
Fractional positions:
Fe (0.5000, 0.5000, 0.0000)
Fe (0.0000, 0.0000, 0.0000)
Cu (0.0000, 0.5000, 0.5000)
Zn (0.5000, 0.0000, 0.5000)

Results
Raw total energy = -22.073 eV/cell
Crystal system = tetragonal
ρ = 8.15 g cm⁻³

=====

The following is a DFT calculation (GGA-PBE) of a geometry-optimized ZnFeCu structure.

a b c (Å): 5.8149 5.8150 2.6085
angles (deg): 77.04 77.04 25.92
Fractional positions:
Cu (0.0025, 0.0025, 0.9975)
Fe (0.6645, 0.6645, 0.3355)
Zn (0.3330, 0.3330, 0.6670)

Results
E above lowest polymorph = 17.3 meV per atom
Raw total energy = -13.757 eV/cell
Crystal system = tetragonal
ρ = 8.18 g cm⁻³

=====

The following is a DFT calculation (GGA-PBE) of a geometry-optimized ZnFe2Cu structure.

a b c (Å): 2.9657 2.9657 5.6271
angles (deg): 90.00 90.00 90.00
Fractional positions:
Fe (0.0000, 0.0000, 0.0141)
Fe (0.5000, 0.5000, 0.2330)
Cu (0.5000, 0.5000, 0.7544)
Zn (0.0000, 0.0000, 0.4984)

Results
Raw total energy = -22.009 eV/cell
Crystal system = tetragonal
ρ = 8.07 g cm⁻³

=====

The following is a DFT calculation (GGA-PBE) of a geometry-optimized ZnFe2Cu structure.

a b c (Å): 4.4324 4.4324 4.4324
angles (deg): 130.73 130.73 72.25
Fractional positions:
Cu (0.7500, 0.2500, 0.5000)
Zn (0.5000, 0.5000, 0.0000)
Fe (0.0000, 0.0000, 0.0000)
Fe (0.2500, 0.7500, 0.5000)

Results
Raw total energy = -21.956 eV/cell
Crystal system = tetragonal
ρ = 8.17 g cm⁻³

=====

The following is a DFT calculation (GGA-PBE) of a geometry-optimized Zn3FeCu6 structure.

a b c (Å): 4.2412 6.9088 9.4594
angles (deg): 115.10 90.00 90.00
Fractional positions:
Cu (0.7500, 0.8313, 0.8316)
Cu (0.7500, 0.7365, 0.5365)
Cu (0.2500, 0.0639, 0.8633)
Cu (0.7500, 0.3290, 0.3340)
Cu (0.2500, 0.2635, 0.4635)
Cu (0.2500, 0.4660, 0.0663)
Cu (0.2500, 0.1687, 0.1684)
Cu (0.7500, 0.5340, 0.9337)
Cu (0.7500, 0.1268, 0.7328)
Cu (0.7500, 0.9361, 0.1367)
Cu (0.2500, 0.8732, 0.2672)
Cu (0.2500, 0.6710, 0.6660)
Zn (0.2500, 0.3596, 0.7666)
Zn (0.2500, 0.7727, 0.9681)
Zn (0.2500, 0.5659, 0.3694)
Zn (0.7500, 0.6404, 0.2334)
Zn (0.7500, 0.4341, 0.6306)
Zn (0.7500, 0.2273, 0.0319)
Fe (0.2500, 0.9683, 0.5606)
Fe (0.7500, 0.0317, 0.4394)

Results
Raw total energy = -73.991 eV/cell
Crystal system = monoclinic
ρ = 8.38 g cm⁻³

=====

The following is a DFT calculation (GGA-PBE) of a geometry-optimized Zn5FeCu6 structure.

a b c (Å): 3.9296 6.6463 6.2341
angles (deg): 90.00 71.63 90.00
Fractional positions:
Cu (0.8360, 0.2475, 0.3279)
Cu (0.5000, 0.7508, 0.0000)
Cu (0.1640, 0.2475, 0.6721)
Cu (0.5000, 0.2492, 0.0000)
Cu (0.8360, 0.7525, 0.3279)
Cu (0.1640, 0.7525, 0.6721)
Zn (0.3353, 0.0000, 0.3294)
Zn (0.6647, 0.0000, 0.6706)
Zn (0.6680, 0.5000, 0.6640)
Zn (0.0000, 0.5000, 0.0000)
Zn (0.3320, 0.5000, 0.3360)
Fe (0.0000, 0.0000, 0.0000)

Results
Raw total energy = -39.655 eV/cell
Crystal system = orthorhombic
ρ = 8.21 g cm⁻³

=====

The following is a DFT calculation (GGA-PBE) of a geometry-optimized Zn3FeCu3 structure.

a b c (Å): 5.9772 5.9772 5.3552
angles (deg): 90.01 90.01 89.98
Fractional positions:
Cu (0.0003, 0.0003, 0.2392)
Cu (0.9997, 0.9997, 0.7608)
Cu (0.0003, 0.4996, 0.2475)
Cu (0.4996, 0.0003, 0.2475)
Cu (0.9997, 0.5004, 0.7525)
Cu (0.5004, 0.9997, 0.7525)
Zn (0.2799, 0.7201, 0.5000)
Zn (0.2823, 0.7177, 0.0000)
Zn (0.7177, 0.2823, 0.0000)
Zn (0.7404, 0.7404, 0.4994)
Zn (0.7201, 0.2799, 0.5000)
Zn (0.2596, 0.2596, 0.5006)
Fe (0.7270, 0.7270, 0.0004)
Fe (0.2730, 0.2730, 0.9996)

Results
Raw total energy = -47.838 eV/cell
Crystal system = monoclinic
ρ = 7.68 g cm⁻³

=====

The following is a DFT calculation (GGA-PBE) of a geometry-optimized Zn6FeCu structure.

a b c (Å): 3.7381 3.7381 7.8040
angles (deg): 90.00 90.00 90.00
Fractional positions:
Zn (0.5000, 0.5000, 0.5000)
Zn (0.5000, 0.0000, 0.2533)
Zn (0.5000, 0.0000, 0.7467)
Zn (0.0000, 0.5000, 0.2533)
Zn (0.5000, 0.5000, 0.0000)
Zn (0.0000, 0.5000, 0.7467)
Fe (0.0000, 0.0000, 0.5000)
Cu (0.0000, 0.0000, 0.0000)

Results
Raw total energy = -20.258 eV/cell
Crystal system = tetragonal
ρ = 7.79 g cm⁻³

=====

The following is a DFT calculation (GGA-PBE) of a geometry-optimized ZnFeCu structure.

a b c (Å): 4.3517 4.2355 8.1629
angles (deg): 90.02 90.00 90.00
Fractional positions:
Zn (0.5633, 0.7496, 0.2517)
Zn (0.4367, 0.2504, 0.7483)
Zn (0.0633, 0.7504, 0.7483)
Zn (0.9367, 0.2496, 0.2517)
Fe (0.5705, 0.7504, 0.9276)
Fe (0.9295, 0.2504, 0.9276)
Fe (0.0705, 0.7496, 0.0724)
Fe (0.4295, 0.2496, 0.0724)
Cu (0.9305, 0.2501, 0.5829)
Cu (0.0695, 0.7499, 0.4171)
Cu (0.4305, 0.2499, 0.4171)
Cu (0.5695, 0.7501, 0.5829)

Results
E above lowest polymorph = 0.0 meV per atom
Raw total energy = -55.235 eV/cell
Crystal system = orthorhombic
ρ = 8.16 g cm⁻³

=====

The following is a DFT calculation (GGA-PBE) of a geometry-optimized ZnFe2Cu structure.

a b c (Å): 2.6514 4.2759 5.3219
angles (deg): 54.33 90.00 90.00
Fractional positions:
Fe (0.0000, 0.0000, 0.0000)
Fe (0.5000, 0.5000, 0.0000)
Cu (0.0000, 0.0000, 0.5000)
Zn (0.5000, 0.5000, 0.5000)

Results
Raw total energy = -21.898 eV/cell
Crystal system = monoclinic
ρ = 8.15 g cm⁻³

=====

The following is a DFT calculation (GGA-PBE) of a geometry-optimized Zn5FeCu structure.

a b c (Å): 4.1243 4.1243 6.0553
angles (deg): 90.00 90.00 90.00
Fractional positions:
Zn (0.5000, 0.5000, 0.0000)
Zn (0.0000, 0.5000, 0.2739)
Zn (0.5000, 0.0000, 0.7261)
Zn (0.5000, 0.0000, 0.2739)
Zn (0.0000, 0.5000, 0.7261)
Fe (0.0000, 0.0000, 0.5000)
Cu (0.0000, 0.0000, 0.0000)

Results
Raw total energy = -18.366 eV/cell
Crystal system = tetragonal
ρ = 7.20 g cm⁻³

=====

The following is a DFT calculation (GGA-PBE) of a geometry-optimized ZnFeCu3 structure.

a b c (Å): 4.3737 4.3737 4.3737
angles (deg): 90.00 90.00 90.00
Fractional positions:
Cu (0.0000, 0.5000, 0.0000)
Cu (0.0000, 0.0000, 0.5000)
Cu (0.5000, 0.0000, 0.0000)
Fe (0.5000, 0.5000, 0.5000)
Zn (0.0000, 0.0000, 0.0000)

Results
E above lowest polymorph = 0.0 meV per atom
Raw total energy = -17.058 eV/cell
Crystal system = cubic
ρ = 6.19 g cm⁻³

=====

The following is a DFT calculation (GGA-PBE) of a geometry-optimized ZnFeCu structure.

a b c (Å): 2.5799 2.5817 12.9132
angles (deg): 89.99 78.42 59.95
Fractional positions:
Cu (0.6331, 0.9354, 0.2997)
Cu (0.5229, 0.4927, 0.1332)
Fe (0.5101, 0.4990, 0.6437)
Fe (0.9813, 0.2633, 0.7898)
Zn (0.0696, 0.7183, 0.4732)
Zn (0.4208, 0.0437, 0.9600)

Results
E above lowest polymorph = 51.0 meV per atom
Raw total energy = -27.311 eV/cell
Crystal system = triclinic
ρ = 8.47 g cm⁻³

=====

The following is a DFT calculation (GGA-PBE) of a geometry-optimized ZnFe2Cu structure.

a b c (Å): 8.5456 8.5456 8.5456
angles (deg): 17.14 17.14 17.14
Fractional positions:
Fe (0.9967, 0.9967, 0.9967)
Fe (0.2540, 0.2540, 0.2540)
Cu (0.7477, 0.7477, 0.7477)
Zn (0.5017, 0.5017, 0.5017)

Results
Raw total energy = -21.832 eV/cell
Crystal system = trigonal
ρ = 8.45 g cm⁻³

=====

The following is a DFT calculation (GGA-PBE) of a geometry-optimized ZnFe2Cu structure.

a b c (Å): 3.7020 2.5358 5.6910
angles (deg): 66.90 90.00 90.00
Fractional positions:
Zn (0.0000, 0.4884, 0.5009)
Fe (0.5000, 0.2267, 0.2407)
Fe (0.0000, 0.0236, 0.0078)
Cu (0.5000, 0.7614, 0.7506)

Results
Raw total energy = -22.040 eV/cell
Crystal system = monoclinic
ρ = 8.13 g cm⁻³

=====

The following is a DFT calculation (GGA-PBE) of a geometry-optimized ZnFeCu structure.

a b c (Å): 2.5927 2.5927 6.4540
angles (deg): 90.00 90.00 120.00
Fractional positions:
Cu (0.0000, 0.0000, 0.0044)
Zn (0.3333, 0.6667, 0.6658)
Fe (0.6667, 0.3333, 0.3298)

Results
E above lowest polymorph = 65.8 meV per atom
Raw total energy = -13.611 eV/cell
Crystal system = trigonal
ρ = 8.17 g cm⁻³

=====

The following is a DFT calculation (GGA-PBE) of a geometry-optimized ZnFe2Cu structure.

a b c (Å): 4.6049 4.6049 4.3344
angles (deg): 79.55 79.55 32.90
Fractional positions:
Fe (0.9984, 0.9984, 0.0039)
Fe (0.5016, 0.5016, 0.4961)
Zn (0.7500, 0.7500, 0.7500)
Cu (0.2500, 0.2500, 0.2500)

Results
Raw total energy = -21.901 eV/cell
Crystal system = monoclinic
ρ = 8.15 g cm⁻³

=====

The following is a DFT calculation (GGA-PBE) of a geometry-optimized Zn3FeCu structure.

a b c (Å): 4.4821 4.4821 4.4821
angles (deg): 90.00 90.00 90.00
Fractional positions:
Zn (0.0000, 0.5000, 0.0000)
Zn (0.0000, 0.0000, 0.5000)
Zn (0.5000, 0.0000, 0.0000)
Fe (0.5000, 0.5000, 0.5000)
Cu (0.0000, 0.0000, 0.0000)

Results
E above lowest polymorph = 686.0 meV per atom
Raw total energy = -12.923 eV/cell
Crystal system = cubic
ρ = 5.82 g cm⁻³

=====

The following is a DFT calculation (GGA-PBE) of a geometry-optimized ZnFe2Cu structure.

a b c (Å): 4.5347 4.5347 2.5737
angles (deg): 90.00 90.00 111.53
Fractional positions:
Zn (0.5000, 0.0000, 0.5000)
Fe (0.5000, 0.5000, 0.0000)
Fe (0.0000, 0.0000, 0.0000)
Cu (0.0000, 0.5000, 0.5000)

Results
Raw total energy = -22.006 eV/cell
Crystal system = orthorhombic
ρ = 8.12 g cm⁻³

=====

The following is a DFT calculation (GGA-PBE) of a geometry-optimized ZnFe2Cu structure.

a b c (Å): 4.7870 4.7870 4.7870
angles (deg): 144.64 127.93 64.52
Fractional positions:
Cu (0.2479, 0.7479, 0.5000)
Fe (0.7604, 0.2604, 0.5000)
Fe (0.9924, 0.9924, 0.0000)
Zn (0.4994, 0.4994, 0.0000)

Results
Raw total energy = -21.835 eV/cell
Crystal system = orthorhombic
ρ = 8.08 g cm⁻³